1.
Below is LaNdTlZn after structural relaxation, with properties calculated at the PBE level.

Lattice parameters (Å, degrees): 5.4512 5.4512 5.4512 60.00 60.00 60.00
Element x y z (fractional)
1 La 0.0000 0.0000 0.0000
2 Nd 0.5000 0.5000 0.5000
3 Tl 0.2500 0.2500 0.2500
4 Zn 0.7500 0.7500 0.7500

## Properties
Theoretical density   8.02 g cm⁻³
Energy above the most stable polymorph in this dataset   22 meV per atom
DOS(E_F)   5.36 states/eV per cell
DFT formation energy   -0.34 eV/atom
Uncorrected energy   -3.672 eV/atom



2.
Below is Er2PaTl3S6 after structural relaxation, with properties calculated at the PBE level.

Lattice parameters (Å, degrees): 6.8666 6.8666 8.4857 98.54 98.54 120.12
Element x y z (fractional)
1 Er 0.1660 0.8340 0.0000
2 Er 0.8340 0.1660 0.0000
3 Pa 0.5000 0.5000 0.0000
4 Tl 0.0000 0.0000 0.5000
5 Tl 0.3219 0.6781 0.5000
6 Tl 0.6781 0.3219 0.5000
7 S 0.1022 0.4335 0.8195
8 S 0.2355 0.2355 0.1831
9 S 0.4335 0.1022 0.8195
10 S 0.5665 0.8978 0.1805
11 S 0.7645 0.7645 0.8169
12 S 0.8978 0.5665 0.1805

## Properties
Theoretical density   6.89 g cm⁻³
E_form (uncorrected)   -1.346 eV/atom
DOS(E_F)   8.28 states/eV per cell
Uncorrected energy   -5.553 eV/atom



3.
Below is CaYCdIn after structural relaxation, with properties calculated at the PBE level.

Lattice parameters (Å, degrees): 5.3602 5.3602 5.3602 60.00 60.00 60.00
Element x y z (fractional)
1 Ca 0.0000 0.0000 0.0000
2 Y 0.5000 0.5000 0.5000
3 Cd 0.2500 0.2500 0.2500
4 In 0.7500 0.7500 0.7500

## Properties
Theoretical density   5.43 g cm⁻³
DOS(E_F)   1.61 states/eV per cell
DFT formation energy   -0.44 eV/atom
Uncorrected energy   -3.467 eV/atom



4.
Below is GaPPbO2 after structural relaxation, with properties calculated at the PBE level.

Lattice parameters (Å, degrees): 3.9228 3.9228 5.0779 90.00 90.00 90.00
Element x y z (fractional)
1 Ga 0.0000 0.0000 0.0000
2 P 0.0000 0.0000 0.5000
3 Pb 0.5000 0.5000 0.5000
4 O 0.0000 0.5000 0.0000
5 O 0.5000 0.0000 0.0000

## Properties
Theoretical density   7.22 g cm⁻³
Energy above the most stable polymorph in this dataset   0 meV per atom
E_form (uncorrected)   -0.399 eV/atom
DOS(E_F)   3.37 states/eV per cell
Uncorrected energy   -4.811 eV/atom